(1)
## Al5Ni (GGA-PBEsol)

Data for Al5Ni after structural relaxation.

Lattice parameters (Å, degrees): 5.0156 5.0156 4.6472 90.00 90.00 120.00
Last column: nearest neighbours and their distance in Å.
Positions (direct):
Al  0.0000  0.5000  0.0000  8 Al 2.51-2.74
Al  0.3333  0.6667  0.5000  9 Al 2.74-2.90, 3 Ni 2.90
Al  0.5000  0.0000  0.0000  8 Al 2.51-2.74
Al  0.5000  0.5000  0.0000  8 Al 2.51-2.74
Al  0.6667  0.3333  0.5000  9 Al 2.74-2.90, 3 Ni 2.90
Ni  0.0000  0.0000  0.5000  6 Al 2.90

Output
**Formation energy from the elements**: 405 meV/atom
**N(E_F)**: 3.4 states/eV/f.u.
**SG**: P6/mmm

---

(2)
## V3S4 (GGA-PBEsol)

Data for V3S4 after structural relaxation.

Lattice parameters (Å, degrees): 8.9550 8.9550 3.1922 90.00 90.00 120.00
Last column: nearest neighbours and their distance in Å.
Positions (direct):
V  0.1190  0.6300  0.2500  6 S 2.30-2.46
V  0.3700  0.4891  0.2500  6 S 2.30-2.46
V  0.4891  0.1190  0.7500  6 S 2.30-2.46
V  0.5109  0.8810  0.2500  6 S 2.30-2.46
V  0.6300  0.5109  0.7500  6 S 2.30-2.46
V  0.8810  0.3700  0.7500  6 S 2.30-2.46
S  0.0532  0.3456  0.2500  4 V 2.30-2.46
S  0.2924  0.9468  0.2500  4 V 2.30-2.46
S  0.3333  0.6667  0.7500  6 V 2.39
S  0.3456  0.2924  0.7500  4 V 2.30-2.46
S  0.6544  0.7076  0.2500  4 V 2.30-2.46
S  0.6667  0.3333  0.2500  6 V 2.39
S  0.7076  0.0532  0.7500  4 V 2.30-2.46
S  0.9468  0.6544  0.7500  4 V 2.30-2.46

Output
**Offset from the most stable computed form**: 0.000 eV/f.u.
**ΔE_f (raw)**: -1127 meV/atom
**N(E_F)**: 3.8 states/eV/f.u.
**SG**: P6_3/m

---

(3)
## AlH2Ir2 (GGA-PBEsol)

Data for AlH2Ir2 after structural relaxation.

Lattice parameters (Å, degrees): 5.9005 5.9005 5.9005 151.19 151.19 41.20
Last column: nearest neighbours and their distance in Å.
Positions (direct):
Al  0.0000  0.0000  0.0000  8 Ir 2.57
H  0.2500  0.7500  0.5000  4 Ir 1.93, 4 H 2.08
H  0.7500  0.2500  0.5000  4 Ir 1.93, 4 H 2.08
Ir  0.3635  0.3635  0.0000  4 H 1.93
Ir  0.6365  0.6365  0.0000  4 H 1.93

Output
**N(E_F)**: 0.8 states/eV/f.u.
**SG**: I4/mmm
**Final energy**: -6.257 eV per atom

---

(4)
## ZnPt2 (GGA-PBEsol)

Data for ZnPt2 after structural relaxation.

Lattice parameters (Å, degrees): 2.7353 7.5602 4.2211 90.00 90.00 90.00
Last column: nearest neighbours and their distance in Å.
Positions (direct):
Zn  0.0000  0.0000  0.0000  6 Pt 2.57-2.60, 2 Zn 2.74
Zn  0.5000  0.5000  0.5000  6 Pt 2.57-2.60, 2 Zn 2.74
Pt  0.2128  0.3353  0.0000  3 Zn 2.57-2.60, 7 Pt 2.74-2.83
Pt  0.2872  0.8353  0.5000  3 Zn 2.57-2.60, 7 Pt 2.74-2.83
Pt  0.7128  0.1647  0.5000  3 Zn 2.57-2.60, 7 Pt 2.74-2.83
Pt  0.7872  0.6647  0.0000  3 Zn 2.57-2.60, 7 Pt 2.74-2.83

Output
**Formation energy from the elements**: -274 meV/atom
**N(E_F)**: 1.6 states/eV/f.u.
**SG**: Pnnm

---

(5)
## AlZnW (GGA-PBEsol)

Data for AlZnW after structural relaxation.

Lattice parameters (Å, degrees): 6.4343 6.4343 6.4343 155.83 155.83 34.45
Last column: nearest neighbours and their distance in Å.
Positions (direct):
Al  0.0000  0.0000  0.0000  4 Al 2.69, 4 W 2.79, 4 Zn 2.79
Zn  0.3338  0.3338  0.0000  4 Zn 2.69, 4 Al 2.79, 4 W 2.81
W  0.6658  0.6658  0.0000  4 W 2.69, 4 Al 2.79, 4 Zn 2.81

Output
**Formation energy from the elements**: 192 meV/atom
**N(E_F)**: 1.6 states/eV/f.u.
**SG**: I4mm

---

(6)
## MgWOF2 (GGA-PBEsol)

Data for MgWOF2 after structural relaxation.

Lattice parameters (Å, degrees): 4.2780 4.2780 3.8169 90.00 90.00 90.00
Last column: nearest neighbours and their distance in Å.
Positions (direct):
Mg  0.0000  0.0000  0.0000  8 F 2.87, 4 O 3.02
W  0.5000  0.5000  0.5000  2 O 1.91
O  0.5000  0.5000  0.0000  2 W 1.91
F  0.0000  0.5000  0.5000  2 W 2.14
F  0.5000  0.0000  0.5000  2 W 2.14

Output
**ΔE_f (raw)**: -1250 meV/atom
**N(E_F)**: 4.3 states/eV/f.u.
**SG**: P4/mmm

---

(7)
## CrInAs3 (GGA-PBEsol)

Data for CrInAs3 after structural relaxation.

Lattice parameters (Å, degrees): 4.6692 4.6692 4.6692 90.00 90.00 90.00
Last column: nearest neighbours and their distance in Å.
Positions (direct):
Cr  0.0000  0.0000  0.0000  6 As 2.33
In  0.5000  0.5000  0.5000  12 As 3.30
As  0.0000  0.0000  0.5000  2 Cr 2.33
As  0.0000  0.5000  0.0000  2 Cr 2.33
As  0.5000  0.0000  0.0000  2 Cr 2.33

Output
**Formation energy from the elements**: 288 meV/atom
**N(E_F)**: 4.2 states/eV/f.u.
**SG**: Pm-3m

---

(8)
## Ta7Mo (GGA-PBEsol)

Data for Ta7Mo after structural relaxation.

Lattice parameters (Å, degrees): 5.3933 5.3933 6.5278 107.43 107.43 50.55
Last column: nearest neighbours and their distance in Å.
Positions (direct):
Ta  0.0000  0.0000  0.0000  8 Ta 2.78-2.85
Ta  0.2416  0.2416  0.3743  1 Mo 2.74, 7 Ta 2.78-2.87
Ta  0.2459  0.2459  0.8698  1 Mo 2.78, 7 Ta 2.80-2.88
Ta  0.4981  0.4981  0.2551  2 Mo 2.80, 6 Ta 2.85-2.88
Ta  0.5019  0.5019  0.7449  2 Mo 2.80, 6 Ta 2.85-2.88
Ta  0.7541  0.7541  0.1302  1 Mo 2.78, 7 Ta 2.80-2.88
Ta  0.7584  0.7584  0.6257  1 Mo 2.74, 7 Ta 2.78-2.87
Mo  0.0000  0.0000  0.5000  8 Ta 2.74-2.80

Output
**Offset from the most stable computed form**: 0.005 eV/f.u.
**Formation energy from the elements**: -46 meV/atom
**N(E_F)**: 9.4 states/eV/f.u.
**SG**: C2/m

---

(9)
## CsCo2AgBi (GGA-PBEsol)

Data for CsCo2AgBi after structural relaxation.

Lattice parameters (Å, degrees): 4.6501 4.6501 6.2848 90.00 90.00 90.00
Last column: nearest neighbours and their distance in Å.
Positions (direct):
Cs  0.0000  0.0000  0.0000  4 Co 2.33
Co  0.0000  0.5000  0.0000  2 Cs 2.33
Co  0.5000  0.0000  0.0000  2 Cs 2.33
Ag  0.5000  0.5000  0.5000  4 Bi 3.29
Bi  0.0000  0.0000  0.5000  2 Cs 3.14, 4 Ag 3.29

Output
**Formation energy from the elements**: 2230 meV/atom
**N(E_F)**: 9.0 states/eV/f.u.
**SG**: P4/mmm

---

(10)
## ScTiCdI2 (GGA-PBEsol)

Data for ScTiCdI2 after structural relaxation.

Lattice parameters (Å, degrees): 5.2359 5.2359 5.3845 90.00 90.00 90.00
Last column: nearest neighbours and their distance in Å.
Positions (direct):
Sc  0.0000  0.0000  0.0000  4 Cd 3.70, 8 I 3.76
Ti  0.5000  0.5000  0.5000  4 I 2.62, 2 Cd 2.69
Cd  0.5000  0.5000  0.0000  2 Ti 2.69
I  0.0000  0.5000  0.5000  2 Ti 2.62
I  0.5000  0.0000  0.5000  2 Ti 2.62

Output
**ΔE_f (raw)**: 339 meV/atom
**N(E_F)**: 6.8 states/eV/f.u.
**SG**: P4/mmm

---

Which formula does entry 4 have? ZnPt2

---

The highest N(E_F) belongs to which entry? Ta7Mo

---

What is the formula in the second record? V3S4

---

The lowest N(E_F) belongs to which entry? AlH2Ir2